No. 1
{
  "formula": "Li2ScAg3",
  "functional": "PBE-GGA",
  "state": "optimized geometry",
  "cell": [[3.2938, 0.0000, 0.0000], [0.0000, 3.2938, 0.0000], [0.0000, 0.0000, 9.6963]],
  "species": ["Li", "Li", "Sc", "Ag", "Ag", "Ag"],
  "fractional_positions": [[0.0000, 0.0000, 0.1552], [0.0000, 0.0000, 0.8448], [0.0000, 0.0000, 0.5000], [0.5000, 0.5000, 0.0000], [0.5000, 0.5000, 0.3124], [0.5000, 0.5000, 0.6876]],
  "total_magnetization_mub_per_cell": 0.00,
  "spacegroup": "P4/mmm",
  "ef_mev_per_atom": -224,
  "dos_ef_per_ev_atom": 0.4762
}

No. 2
{
  "formula": "MgMn3Se",
  "functional": "PBE-GGA",
  "state": "optimized geometry",
  "cell": [[4.5714, 0.0000, 0.0000], [0.0000, 4.5714, 0.0000], [0.0000, 0.0000, 4.5714]],
  "species": ["Mg", "Mn", "Mn", "Mn", "Se"],
  "fractional_positions": [[0.0000, 0.0000, 0.0000], [0.0000, 0.5000, 0.5000], [0.5000, 0.0000, 0.5000], [0.5000, 0.5000, 0.0000], [0.5000, 0.5000, 0.5000]],
  "relative_energy_kj_per_mol_atoms": 0.0,
  "total_magnetization_mub_per_cell": 9.42,
  "spacegroup": "Pm-3m",
  "dos_ef_per_ev_atom": 0.8142,
  "e_form_raw_ev_per_fu": 2.2
}

No. 3
{
  "formula": "Ca2CoAg",
  "functional": "PBE-GGA",
  "state": "optimized geometry",
  "cell": [[4.2780, 0.0000, 0.0000], [0.0000, 4.2780, 0.0000], [0.0000, 0.0000, 9.9076]],
  "species": ["Ca", "Ca", "Ca", "Ca", "Co", "Co", "Ag", "Ag"],
  "fractional_positions": [[0.0000, 0.0000, 0.0000], [0.0000, 0.5000, 0.2500], [0.5000, 0.0000, 0.7500], [0.5000, 0.5000, 0.5000], [0.0000, 0.5000, 0.7500], [0.5000, 0.0000, 0.2500], [0.0000, 0.0000, 0.5000], [0.5000, 0.5000, 0.0000]],
  "relative_energy_kj_per_mol_atoms": 16.5,
  "total_magnetization_mub_per_cell": 1.61,
  "spacegroup": "I-4m2",
  "ef_mev_per_atom": 229,
  "dos_ef_per_ev_atom": 1.2235
}

No. 4
{
  "formula": "NaAlSnO2",
  "functional": "PBE-GGA",
  "state": "optimized geometry",
  "cell": [[4.2404, 0.0000, 0.0000], [0.0000, 4.2404, 0.0000], [0.0000, 0.0000, 5.3772]],
  "species": ["Na", "Al", "Sn", "O", "O"],
  "fractional_positions": [[0.0000, 0.0000, 0.0000], [0.5000, 0.5000, 0.0000], [0.5000, 0.5000, 0.5000], [0.0000, 0.5000, 0.5000], [0.5000, 0.0000, 0.5000]],
  "total_magnetization_mub_per_cell": 0.00,
  "spacegroup": "P4/mmm",
  "dos_ef_per_ev_atom": 0.4730,
  "e_form_raw_ev_per_fu": -1.3
}

no.,electronic total energy (eV per atom),volume (Å³/cell)
1,-3.343,105.19
2,-6.082,95.53
3,-3.261,181.32
4,-4.048,96.69